Entry 1:
LiTiFeO4 after structural relaxation, computed with PBE with a Hubbard U.

```
28
Lattice="9.0342 0.0000 0.0000 0.0000 2.9532 0.0000 0.0000 0.0000 10.9414" Properties=species:S:1:pos:R:3 pbc="T T T"
Li 2.2302 0.7383 1.1548
Li 2.2868 2.2149 6.6255
Li 6.7473 0.7383 4.3160
Li 6.8039 2.2149 9.7867
Ti 0.7329 2.2149 4.2709
Ti 3.7842 0.7383 9.7417
Ti 5.2500 2.2149 1.1998
Ti 8.3012 0.7383 6.6705
Fe 0.5755 2.2149 9.7288
Fe 3.9416 0.7383 4.2581
Fe 5.0926 2.2149 6.6834
Fe 8.4586 0.7383 1.2126
O 0.1203 0.7383 3.1796
O 0.7758 2.2149 0.8354
O 1.0470 0.7383 5.6469
O 1.9288 0.7383 9.3584
O 2.5883 2.2149 3.8876
O 3.4701 2.2149 0.1762
O 3.7413 0.7383 6.3061
O 4.3968 2.2149 8.6503
O 4.6374 0.7383 2.2911
O 5.2929 2.2149 4.6353
O 5.5641 0.7383 10.7653
O 6.4459 0.7383 7.0538
O 7.1054 2.2149 1.5831
O 7.9872 2.2149 5.2946
O 8.2583 0.7383 10.1061
O 8.9139 2.2149 7.7618
```

Values from the calculation:
- Calculated total energy: -7.305 eV/atom
- Theoretical density: 4.0 g/cm3
- Space group: Pnma, No. 62
- Relative energy among the computed polymorphs: 0.0310 eV/atom

---

Entry 2:
Li4TiFe3O8 after structural relaxation, computed with PBE with a Hubbard U.

```
16
Lattice="5.0492 -2.9601 0.0000 5.0492 2.9601 0.0000 -3.4089 0.0000 4.8522" Properties=species:S:1:pos:R:3 pbc="T T T"
Li 0.0000 0.0000 0.0000
Li 2.5246 1.4801 0.0000
Li 2.5246 -1.4801 0.0000
Li 5.0492 0.0000 0.0000
Ti -1.7044 0.0000 2.4261
Fe 0.8202 1.4801 2.4261
Fe 0.8202 -1.4801 2.4261
Fe 3.3448 0.0000 2.4261
O 2.4541 1.5792 3.5480
O -0.0382 0.0000 3.5308
O 4.2354 1.5792 1.3043
O 1.5906 0.0000 1.3723
O 5.0989 0.0000 3.4799
O 2.4541 -1.5792 3.5480
O 6.7278 0.0000 1.3215
O 4.2354 -1.5792 1.3043
```

Values from the calculation:
- Calculated total energy: -6.316 eV/atom
- Theoretical density: 4.2 g/cm3
- Space group: C2/m, No. 12
- Relative energy among the computed polymorphs: 0.1766 eV/atom

---

Entry 3:
Li4Ti5Fe3O16 after structural relaxation, computed with PBE with a Hubbard U.

```
28
Lattice="5.1264 -2.9419 0.0000 5.1264 2.9419 0.0000 -0.0111 0.0000 9.5690" Properties=species:S:1:pos:R:3 pbc="T T T"
Li 0.0000 0.0000 0.0000
Li 0.0352 0.0000 4.8396
Li 3.4723 0.0000 8.6386
Li 6.8355 0.0000 3.9331
Ti 4.1520 1.4450 2.2019
Ti 3.4534 0.0000 4.9027
Ti 4.1520 -1.4450 2.2019
Ti 6.6898 0.0000 0.0382
Ti 8.4787 0.0000 7.0538
Fe 1.7370 0.0000 2.1074
Fe 6.0446 1.4356 6.8888
Fe 6.0446 -1.4356 6.8888
O 0.0384 0.0000 7.7583
O 2.7455 1.3372 3.4271
O 1.7507 0.0000 5.7951
O 4.3303 1.4386 5.8019
O 5.9234 1.4251 0.9350
O 3.5470 0.0000 1.0605
O 4.9490 0.0000 3.2997
O 2.7455 -1.3372 3.4271
O 7.6364 1.3171 8.0975
O 5.3827 0.0000 8.0702
O 4.3303 -1.4386 5.8019
O 6.9026 0.0000 5.8980
O 5.9234 -1.4251 0.9350
O 8.5016 0.0000 1.0246
O 7.6364 -1.3171 8.0975
O 10.1686 0.0000 3.0260
```

Values from the calculation:
- Calculated total energy: -7.458 eV/atom
- Theoretical density: 4.0 g/cm3
- Space group: Cm, No. 8

---

Entry 4:
Li2UFe2O6 after structural relaxation, computed with PBE with a Hubbard U.

```
11
Lattice="2.9332 -4.4979 0.0000 2.9332 4.4979 0.0000 -2.6289 0.0000 4.9539" Properties=species:S:1:pos:R:3 pbc="T T T"
Li 2.9332 3.0974 0.0000
Li 2.9332 -3.0974 0.0000
U 2.9332 0.0000 0.0000
Fe 1.6187 1.6180 2.4769
Fe 1.6187 -1.6180 2.4769
O -0.3191 1.5435 3.7056
O 1.0959 0.0000 1.0914
O -0.3191 -1.5435 3.7056
O 3.5565 1.5435 1.2483
O 2.1416 0.0000 3.8624
O 3.5565 -1.5435 1.2483
```

Values from the calculation:
- Calculated total energy: -7.313 eV/atom
- Theoretical density: 5.8 g/cm3
- Space group: C2/m, No. 12

---

Entry 5:
LiUFeO6 after structural relaxation, computed with PBE with a Hubbard U.

```
18
Lattice="4.8325 0.0000 0.0000 0.0000 4.8325 0.0000 0.0000 0.0000 9.2144" Properties=species:S:1:pos:R:3 pbc="T T T"
Li 0.0000 0.0000 0.0000
Li 2.4162 2.4162 4.6072
U 0.0000 0.0000 3.0876
U 2.4162 2.4162 7.6948
Fe 0.0000 0.0000 6.2205
Fe 2.4162 2.4162 1.6133
O 0.8773 0.8773 4.7329
O 0.9220 0.9220 7.5930
O 0.9761 0.9761 1.6312
O 1.4401 3.3923 6.2385
O 1.4942 3.3383 2.9858
O 1.5389 3.2935 0.1257
O 3.2935 1.5389 0.1257
O 3.3383 1.4942 2.9858
O 3.3923 1.4401 6.2385
O 3.8564 3.8564 1.6312
O 3.9104 3.9104 7.5930
O 3.9552 3.9552 4.7329
```

Values from the calculation:
- Calculated total energy: -7.344 eV/atom
- Theoretical density: 6.1 g/cm3
- Space group: P4_2nm, No. 102

---

Entry 6:
Li3V3Fe2O10 after structural relaxation, computed with PBE with a Hubbard U.

```
18
Lattice="5.1452 0.0000 0.0000 1.0955 5.0968 0.0000 2.3827 1.8287 7.3843" Properties=species:S:1:pos:R:3 pbc="T T T"
Li 0.0000 0.0000 0.0000
Li 4.3797 4.3257 6.5964
Li 4.2438 2.5999 0.7879
V 2.4306 1.1961 4.4984
V 4.3117 3.4628 3.6921
V 6.1929 5.7295 2.8859
Fe 3.5732 5.4155 1.3875
Fe 5.0502 1.5101 5.9968
O 0.6670 1.2586 1.3701
O 2.7988 4.8366 3.3110
O 3.4923 2.6483 5.3257
O 2.9137 4.0054 0.1770
O 3.4450 1.7802 2.7366
O 5.1784 5.1453 4.6477
O 5.7097 2.9201 7.2073
O 5.1311 4.2773 2.0586
O 5.8246 2.0890 4.0733
O 7.9565 5.6670 6.0142
```

Values from the calculation:
- Calculated total energy: -6.797 eV/atom
- Theoretical density: 3.8 g/cm3
- Space group: P-1, No. 2

---

Entry 7:
Li2VFe3O8 after structural relaxation, computed with PBE with a Hubbard U.

```
14
Lattice="3.0000 1.7320 4.8563 -3.0000 1.7320 4.8563 0.0000 -3.4641 4.8563" Properties=species:S:1:pos:R:3 pbc="T T T"
Li 0.0000 0.0000 1.9056
Li 0.0000 0.0000 12.6634
V 0.0000 0.0000 7.2845
Fe -1.5000 -0.8660 4.8563
Fe -1.5000 0.8660 9.7126
Fe 0.0000 1.7320 4.8563
O 0.0000 0.0000 3.8567
O 0.0000 -1.5288 6.1183
O -1.3240 0.7644 6.1183
O -1.3240 -0.7644 8.4506
O 1.3240 0.7644 6.1183
O 1.3240 -0.7644 8.4506
O 0.0000 1.5288 8.4506
O 0.0000 0.0000 10.7123
```

Values from the calculation:
- Calculated total energy: -6.555 eV/atom
- Theoretical density: 4.0 g/cm3
- Space group: R-3m, No. 166
- Relative energy among the computed polymorphs: 0.0034 eV/atom

---

Entry 8:
Li2V3FeO8 after structural relaxation, computed with PBE with a Hubbard U.

```
14
Lattice="2.9519 1.7043 4.9241 -2.9519 1.7043 4.9241 0.0000 -3.4085 4.9241" Properties=species:S:1:pos:R:3 pbc="T T T"
Li 0.0000 0.0000 1.8368
Li 0.0000 0.0000 12.9357
V -1.4759 -0.8521 4.9241
V -1.4759 0.8521 9.8483
V 0.0000 1.7043 4.9241
Fe 0.0000 0.0000 7.3862
O 0.0000 -1.5609 6.0638
O -1.3517 0.7804 6.0638
O 0.0000 0.0000 3.8552
O -1.3517 -0.7804 8.7086
O 1.3517 0.7804 6.0638
O 0.0000 0.0000 10.9172
O 1.3517 -0.7804 8.7086
O 0.0000 1.5609 8.7086
```

Values from the calculation:
- Calculated total energy: -7.049 eV/atom
- Theoretical density: 3.9 g/cm3
- Space group: R-3m, No. 166
- Relative energy among the computed polymorphs: 0.0181 eV/atom

---

Entry 9:
LiV2FeO4 after structural relaxation, computed with PBE with a Hubbard U.

```
8
Lattice="0.0000 3.0326 4.3363 3.0013 0.0000 4.3363 3.0013 3.0326 0.0000" Properties=species:S:1:pos:R:3 pbc="T T T"
Li 0.0000 0.0000 0.0000
V 1.5007 1.5163 2.1682
V 4.5020 4.5489 6.5045
Fe 3.0013 3.0326 4.3363
O 1.5007 1.5163 0.0000
O 3.0013 3.0326 2.1452
O 1.5007 1.5163 4.3363
O 3.0013 3.0326 6.5275
```

Values from the calculation:
- Calculated total energy: -7.023 eV/atom
- Theoretical density: 4.8 g/cm3
- Space group: Fmmm, No. 69

---

Entry 10:
Li4V3Fe2O10 after structural relaxation, computed with PBE with a Hubbard U.

```
19
Lattice="5.3766 0.0000 0.0000 -1.3149 5.7663 0.0000 -2.4537 -1.7910 7.8006" Properties=species:S:1:pos:R:3 pbc="T T T"
Li 0.0000 0.0000 0.0000
Li -0.4143 0.9319 2.4057
Li -1.0063 3.8945 6.5710
Li 3.3892 2.3223 0.7267
V -1.4079 3.9723 3.6598
V -1.5718 1.1074 7.3059
V 2.6044 -0.6948 4.5000
Fe 2.4013 -0.1802 1.5861
Fe 1.4809 2.3427 5.6688
O -1.4343 2.6312 2.6047
O -2.5679 3.8420 5.2805
O 0.0649 4.3087 0.1387
O 0.9294 1.6171 0.6409
O 1.0761 -0.2799 3.1477
O 0.1164 3.5958 4.9221
O 0.0856 1.4955 6.9248
O 3.6675 0.5039 0.3462
O 3.8164 -0.6388 3.0443
O 2.8064 0.7379 5.8331
```

Values from the calculation:
- Calculated total energy: -6.601 eV/atom
- Theoretical density: 3.1 g/cm3
- Space group: P1, No. 1
- Relative energy among the computed polymorphs: 0.0784 eV/atom

---

Entry 11:
LiVFe4O8 after structural relaxation, computed with PBE with a Hubbard U.

```
14
Lattice="5.1005 -2.9487 0.0000 5.1005 2.9487 0.0000 -3.3174 0.0000 4.8126" Properties=species:S:1:pos:R:3 pbc="T T T"
Li 0.0000 0.0000 0.0000
V -1.6587 0.0000 2.4063
Fe 2.5502 1.4744 0.0000
Fe 1.8302 0.0000 3.0184
Fe 2.5502 -1.4744 0.0000
Fe 5.0533 0.0000 1.7943
O 4.1333 1.5405 1.1628
O -0.0036 0.0000 3.6867
O 1.8071 0.0000 1.0976
O 2.7503 1.5405 3.6499
O 4.1333 -1.5405 1.1628
O 5.0764 0.0000 3.7150
O 6.8871 0.0000 1.1259
O 2.7503 -1.5405 3.6499
```

Values from the calculation:
- Calculated total energy: -6.549 eV/atom
- Theoretical density: 4.7 g/cm3
- Space group: C2/m, No. 12

---

Entry 12:
Li5V3Fe2O10 after structural relaxation, computed with PBE with a Hubbard U.

```
20
Lattice="5.0914 0.0000 0.0000 -1.1044 5.1977 0.0000 -1.6918 -2.6654 7.2337" Properties=species:S:1:pos:R:3 pbc="T T T"
Li 0.0000 0.0000 0.0000
Li -0.9443 -0.7486 5.2736
Li 0.7716 2.6849 0.6101
Li 1.5237 -0.1527 6.6237
Li 3.2395 3.2808 1.9602
V -0.0706 1.0136 2.8688
V 1.6998 -1.3327 3.6169
V 2.3659 1.5187 4.3650
Fe -0.2544 2.1271 5.9868
Fe 2.5497 0.4051 1.2469
O -1.9051 0.9414 5.9833
O -0.9334 2.5381 3.9203
O 0.8452 -0.5452 1.9760
O -0.0163 -1.4943 6.8673
O 0.7487 0.3098 4.5945
O 1.5465 2.2224 2.6393
O 2.3116 4.0265 0.3665
O 1.4500 3.0774 5.2578
O 3.2286 -0.0059 3.3134
O 4.2003 1.5908 1.2505
```

Values from the calculation:
- Calculated total energy: -6.548 eV/atom
- Theoretical density: 4.0 g/cm3
- Space group: P-1, No. 2
- Relative energy among the computed polymorphs: 0.0309 eV/atom